1.
Here is crystalline TiTlCrCu2 at its relaxed geometry from Alexandria via LeMat-Bulk. Energies are from PBE-GGA.

Summary:
Its calculated formation energy is 6.151 eV per formula unit.

Cell and atoms, written as POSCAR:
```
TiTlCrCu2
1.0
4.6714 0.0000 0.0000
0.0000 5.3005 0.0000
0.0000 0.0000 4.6714
Cr Tl Cu Ti
1 1 2 1
Cartesian
2.3357 2.6503 2.3357
0.0000 2.6503 0.0000
0.0000 0.0000 2.3357
2.3357 0.0000 0.0000
0.0000 0.0000 0.0000
```


2.
Here is crystalline TiVCrCu at its relaxed geometry from Alexandria via LeMat-Bulk. Energies are from PBE-GGA.

Summary:
Its calculated formation energy is 0.266 eV per formula unit.

Cell and atoms, written as POSCAR:
```
TiVCrCu
1.0
4.2265 0.0000 0.0000
2.1132 3.6602 0.0000
2.1132 1.2201 3.4509
Cr Ti Cu V
1 1 1 1
Cartesian
0.0000 0.0000 0.0000
2.1132 1.2201 0.8627
4.2265 2.4402 1.7255
6.3397 3.6602 2.5882
```


3.
Here is crystalline TlCrCu2 at its relaxed geometry from Alexandria via LeMat-Bulk. Energies are from PBE-GGA.

Summary:
Its calculated formation energy is 1.610 eV per formula unit. The energy above the lowest structure with this stoichiometry is 0.0109 eV per atom.

Cell and atoms, written as POSCAR:
```
TlCrCu2
1.0
-2.5053 0.5900 -2.8874
0.9578 -3.6178 -1.5703
-2.9401 -1.7320 2.1972
Cr Cu Tl
1 2 1
Cartesian
-2.7227 -0.5710 -0.3451
0.0000 0.0000 0.0000
-0.9912 -2.6749 0.3135
-0.7738 -1.5139 -2.2288
```


4.
Here is crystalline TlCrCu2 at its relaxed geometry from Alexandria via LeMat-Bulk. Energies are from PBE-GGA.

Summary:
Its calculated formation energy is 1.586 eV per formula unit. The energy above the lowest structure with this stoichiometry is 0.0050 eV per atom.

Cell and atoms, written as POSCAR:
```
TlCrCu2
1.0
0.0000 3.1570 3.1570
3.1570 0.0000 3.1570
3.1570 3.1570 0.0000
Cr Tl Cu
1 1 2
Cartesian
0.0000 0.0000 0.0000
3.1570 3.1570 3.1570
1.5785 1.5785 1.5785
4.7355 4.7355 4.7355
```


5.
Here is crystalline TlCrCu2 at its relaxed geometry from Alexandria via LeMat-Bulk. Energies are from PBE-GGA.

Summary:
Its calculated formation energy is 1.566 eV per formula unit. The energy above the lowest structure with this stoichiometry is 0.0000 eV per atom.

Cell and atoms, written as POSCAR:
```
TlCrCu2
1.0
-0.5192 3.1747 0.7173
-2.0015 -0.8759 2.4277
4.7038 -0.0989 3.8424
Cr Cu Tl
1 2 1
Cartesian
2.2675 1.0752 4.4543
4.5082 -0.0948 3.6825
2.5476 -0.0536 2.0810
-0.0844 1.1247 2.5331
```


6.
Here is crystalline TlCrCu2 at its relaxed geometry from Alexandria via LeMat-Bulk. Energies are from PBE-GGA.

Summary:
Its calculated formation energy is 1.741 eV per formula unit. The energy above the lowest structure with this stoichiometry is 0.0439 eV per atom.

Cell and atoms, written as POSCAR:
```
TlCrCu2
1.0
-2.2023 -3.5051 -0.1282
0.2081 -0.2425 3.0564
-4.2573 2.5992 2.0706
Cr Cu Tl
1 2 1
Cartesian
-4.3680 0.1511 4.0090
-4.1527 2.5129 2.6364
-2.1152 -1.1409 0.6319
-1.8975 1.1061 2.3558
```


7.
Here is crystalline TlCrCu2 at its relaxed geometry from Alexandria via LeMat-Bulk. Energies are from PBE-GGA.

Summary:
Its calculated formation energy is 1.613 eV per formula unit. The energy above the lowest structure with this stoichiometry is 0.0118 eV per atom.

Cell and atoms, written as POSCAR:
```
TlCrCu2
1.0
-3.7286 0.7742 -2.9248
-3.9070 0.1628 2.7865
4.1601 2.3670 0.3834
Cr Cu Tl
1 2 1
Cartesian
-1.6931 1.8048 -1.3053
0.0000 0.0000 0.0000
-1.7824 1.4992 1.5503
-3.8178 0.4685 -0.0692
```


8.
Here is crystalline TlCrCu2 at its relaxed geometry from Alexandria via LeMat-Bulk. Energies are from PBE-GGA.

Summary:
Its calculated formation energy is 2.583 eV per formula unit. The energy above the lowest structure with this stoichiometry is 0.2542 eV per atom.

Cell and atoms, written as POSCAR:
```
TlCrCu2
1.0
7.2228 0.0000 0.0000
0.0000 7.2228 0.0000
3.6114 3.6114 2.7099
Cr Tl Cu
2 2 4
Cartesian
3.6114 3.6114 0.0000
3.6114 7.2228 1.3549
0.0000 0.0000 0.0000
7.2228 3.6114 1.3549
5.3008 1.8057 0.6775
1.9220 5.4171 0.6775
5.4171 5.5335 2.0324
9.0286 8.9122 2.0324
```


9.
Here is crystalline TlCrCu3 at its relaxed geometry from Alexandria via LeMat-Bulk. Energies are from PBE-GGA.

Summary:
Its calculated formation energy is 5.053 eV per formula unit. The energy above the lowest structure with this stoichiometry is 0.0000 eV per atom.

Cell and atoms, written as POSCAR:
```
TlCrCu3
1.0
4.7152 0.0000 0.0000
0.0000 4.7152 0.0000
0.0000 0.0000 4.7152
Cr Tl Cu
1 1 3
Cartesian
0.0000 0.0000 0.0000
2.3576 2.3576 2.3576
0.0000 2.3576 0.0000
0.0000 0.0000 2.3576
2.3576 0.0000 0.0000
```


10.
Here is crystalline TlCrCu2 at its relaxed geometry from Alexandria via LeMat-Bulk. Energies are from PBE-GGA.

Summary:
Its calculated formation energy is 2.375 eV per formula unit. The energy above the lowest structure with this stoichiometry is 0.2023 eV per atom.

Cell and atoms, written as POSCAR:
```
TlCrCu2
1.0
-8.1227 1.2935 -1.2318
-7.3997 -0.3758 -3.7778
-8.0402 -1.8309 -1.0827
Cr Cu Tl
1 2 1
Cartesian
-17.4370 -0.6758 -4.5084
-23.4947 -0.9106 -6.0747
-6.1199 -0.2372 -1.5823
-11.8549 -0.4595 -3.0651
```


11.
Here is crystalline TlCrCu2 at its relaxed geometry from Alexandria via LeMat-Bulk. Energies are from PBE-GGA.

Summary:
Its calculated formation energy is 2.447 eV per formula unit. The energy above the lowest structure with this stoichiometry is 0.2202 eV per atom.

Cell and atoms, written as POSCAR:
```
TlCrCu2
1.0
8.3462 -0.2731 -0.1603
7.8535 2.8384 -0.1603
7.8535 1.2436 2.5565
Cr Cu Tl
1 2 1
Cartesian
18.0399 2.8567 1.6769
0.1619 0.0256 0.0150
11.8647 1.8788 1.1029
6.0133 0.9522 0.5590
```


12.
Here is crystalline TlCrCu2 at its relaxed geometry from Alexandria via LeMat-Bulk. Energies are from PBE-GGA.

Summary:
Its calculated formation energy is 1.637 eV per formula unit. The energy above the lowest structure with this stoichiometry is 0.0178 eV per atom.

Cell and atoms, written as POSCAR:
```
TlCrCu2
1.0
3.1403 0.0000 0.0000
0.0000 3.1403 0.0000
0.0000 0.0000 6.6238
Cr Cu Tl
1 2 1
Cartesian
1.5701 1.5701 5.2714
0.0000 0.0000 0.1221
1.5701 1.5701 1.3288
0.0000 0.0000 3.2135
```


13.
Here is crystalline TlCrCu2 at its relaxed geometry from Alexandria via LeMat-Bulk. Energies are from PBE-GGA.

Summary:
Its calculated formation energy is 1.767 eV per formula unit. The energy above the lowest structure with this stoichiometry is 0.0504 eV per atom.

Cell and atoms, written as POSCAR:
```
TlCrCu2
1.0
-0.4269 0.0118 4.6797
2.0745 -1.5947 3.9032
2.8023 3.8141 1.1360
Cr Cu Tl
1 2 1
Cartesian
1.1125 0.5578 2.4298
1.7544 -1.4011 8.5505
2.1182 0.9337 4.8920
3.3374 1.6733 7.2893
```


14.
Here is crystalline TlCrCu2 at its relaxed geometry from Alexandria via LeMat-Bulk. Energies are from PBE-GGA.

Summary:
Its calculated formation energy is 1.582 eV per formula unit. The energy above the lowest structure with this stoichiometry is 0.0040 eV per atom.

Cell and atoms, written as POSCAR:
```
TlCrCu2
1.0
-1.6297 4.0358 -1.5298
-1.6678 -1.3039 -4.0991
-1.0103 -1.9578 4.0850
Cr Cu Tl
1 2 1
Cartesian
-2.1635 -0.9478 -1.4143
-3.2975 2.7319 -5.6288
-1.6488 1.3660 -2.8145
-2.1444 1.7220 -0.1296
```


15.
Here is crystalline TlCr3Cu at its relaxed geometry from Alexandria via LeMat-Bulk. Energies are from PBE-GGA.

Summary:
Its calculated formation energy is 5.843 eV per formula unit. The energy above the lowest structure with this stoichiometry is 0.0000 eV per atom.

Cell and atoms, written as POSCAR:
```
TlCr3Cu
1.0
4.7003 0.0000 0.0000
0.0000 4.7003 0.0000
0.0000 0.0000 4.7003
Cr Tl Cu
3 1 1
Cartesian
0.0000 2.3502 0.0000
0.0000 0.0000 2.3502
2.3502 0.0000 0.0000
2.3502 2.3502 2.3502
0.0000 0.0000 0.0000
```


16.
Here is crystalline YTlCr2Cu at its relaxed geometry from Alexandria via LeMat-Bulk. Energies are from PBE-GGA.

Summary:
Its calculated formation energy is 9.074 eV per formula unit.

Cell and atoms, written as POSCAR:
```
YTlCr2Cu
1.0
5.1049 0.0000 0.0000
0.0000 5.7240 0.0000
0.0000 0.0000 5.1049
Y Cr Tl Cu
1 2 1 1
Cartesian
0.0000 0.0000 0.0000
0.0000 0.0000 2.5524
2.5524 0.0000 0.0000
0.0000 2.8620 0.0000
2.5524 2.8620 2.5524
```


17.
Here is crystalline TlZnCr2Cu at its relaxed geometry from Alexandria via LeMat-Bulk. Energies are from PBE-GGA.

Summary:
Its calculated formation energy is 6.856 eV per formula unit.

Cell and atoms, written as POSCAR:
```
TlZnCr2Cu
1.0
5.2299 0.0000 0.0000
0.0000 4.8461 0.0000
0.0000 0.0000 5.2299
Cr Tl Zn Cu
2 1 1 1
Cartesian
0.0000 0.0000 2.6150
2.6150 0.0000 0.0000
0.0000 0.0000 0.0000
2.6150 2.4231 2.6150
0.0000 2.4231 0.0000
```


18.
Here is crystalline Tm2CrCu at its relaxed geometry from Alexandria via LeMat-Bulk. Energies are from PBE-GGA.

Summary:
Its calculated formation energy is 0.173 eV per formula unit. The energy above the lowest structure with this stoichiometry is 0.0000 eV per atom.

Cell and atoms, written as POSCAR:
```
Tm2CrCu
1.0
-2.7056 0.3964 2.0987
1.8959 -1.1140 2.6545
1.9856 6.5366 1.3251
Cr Tm Cu
1 2 1
Cartesian
-0.4048 -0.3588 2.3766
1.4798 4.8714 0.9875
0.5059 1.6653 0.3376
0.5880 2.9095 3.0392
```


19.
Here is crystalline VCrCu3 at its relaxed geometry from Alexandria via LeMat-Bulk. Energies are from PBE-GGA.

Summary:
Its calculated formation energy is 6.874 eV per formula unit. The energy above the lowest structure with this stoichiometry is 0.0000 eV per atom.

Cell and atoms, written as POSCAR:
```
VCrCu3
1.0
-1.1978 -0.2465 4.3243
2.4426 -3.7435 0.4633
3.5768 2.4739 1.1318
Cr Cu V
1 3 1
Cartesian
2.4108 -0.7580 2.9597
1.2213 -1.8718 0.2316
1.7884 1.2370 0.5659
-0.5989 -0.1232 2.1621
0.0000 0.0000 0.0000
```


20.
Here is crystalline VCr3Cu at its relaxed geometry from Alexandria via LeMat-Bulk. Energies are from PBE-GGA.

Summary:
Its calculated formation energy is 7.179 eV per formula unit. The energy above the lowest structure with this stoichiometry is 0.0192 eV per atom.

Cell and atoms, written as POSCAR:
```
VCr3Cu
1.0
-1.2069 -4.3233 0.4796
2.3768 -1.0723 -3.6849
3.6430 -0.7327 2.5630
Cr Cu V
3 1 1
Cartesian
1.1884 -0.5362 -1.8424
1.8215 -0.3663 1.2815
-0.6035 -2.1616 0.2398
0.0000 0.0000 0.0000
2.4064 -3.0641 -0.3211
```


21.
Here is crystalline VCr3Cu at its relaxed geometry from Alexandria via LeMat-Bulk. Energies are from PBE-GGA.

Summary:
Its calculated formation energy is 7.083 eV per formula unit. The energy above the lowest structure with this stoichiometry is 0.0000 eV per atom.

Cell and atoms, written as POSCAR:
```
VCr3Cu
1.0
4.2005 0.0000 0.0000
0.0000 4.2005 0.0000
0.0000 0.0000 4.2005
Cr Cu V
3 1 1
Cartesian
0.0000 2.1002 0.0000
0.0000 0.0000 2.1002
2.1002 0.0000 0.0000
2.1002 2.1002 2.1002
0.0000 0.0000 0.0000
```


22.
Here is crystalline V3CrCu at its relaxed geometry from Alexandria via LeMat-Bulk. Energies are from PBE-GGA.

Summary:
Its calculated formation energy is 5.054 eV per formula unit. The energy above the lowest structure with this stoichiometry is 0.0000 eV per atom.

Cell and atoms, written as POSCAR:
```
V3CrCu
1.0
-2.9576 0.9581 -2.9339
-2.3533 -3.3291 1.2852
-1.9968 2.5044 2.8308
Cr Cu V
1 1 3
Cartesian
0.0000 0.0000 0.0000
-3.6539 0.0667 0.5911
-1.1767 -1.6646 0.6426
-0.9984 1.2522 1.4154
-1.4788 0.4790 -1.4669
```


23.
Here is crystalline VCrCu at its relaxed geometry from Alexandria via LeMat-Bulk. Energies are from PBE-GGA.

Summary:
Its calculated formation energy is 1.575 eV per formula unit.

Cell and atoms, written as POSCAR:
```
VCrCu
1.0
4.1310 0.0000 0.0000
2.0655 3.5775 0.0000
2.0655 1.1925 5.5596
Cr Cu V
2 2 2
Cartesian
2.0655 1.1925 0.5585
6.1965 3.5775 5.0011
2.0655 1.1925 3.1971
6.1965 3.5775 2.3625
4.1310 2.3850 4.0621
4.1310 2.3850 1.4976
```


24.
Here is crystalline VCr2Cu at its relaxed geometry from Alexandria via LeMat-Bulk. Energies are from PBE-GGA.

Summary:
Its calculated formation energy is 2.983 eV per formula unit.

Cell and atoms, written as POSCAR:
```
VCr2Cu
1.0
-3.6274 -2.5468 -4.7466
-4.7056 -1.2871 4.2867
-5.1657 0.3063 -0.6593
Cr Cu V
4 2 2
Cartesian
-4.1324 -1.6660 -2.5769
-4.7002 -1.0563 1.9022
-7.0177 -1.2131 -0.6500
-11.1470 -3.1199 -0.9139
0.0000 0.0000 0.0000
-6.4798 -2.0788 -2.8179
-4.1665 -1.9170 -0.2300
-7.0189 -1.4489 1.6987
```


25.
Here is crystalline CrCuW2 at its relaxed geometry from Alexandria via LeMat-Bulk. Energies are from PBE-GGA.

Summary:
Its calculated formation energy is 1.912 eV per formula unit. The energy above the lowest structure with this stoichiometry is 0.2365 eV per atom.

Cell and atoms, written as POSCAR:
```
CrCuW2
1.0
9.2055 -0.0052 -0.0031
8.8024 2.6941 -0.0031
8.8024 1.3143 2.3518
Cr Cu W
1 1 2
Cartesian
6.7026 1.0008 0.5864
20.1078 3.0024 1.7592
26.7974 4.0013 2.3445
13.4182 2.0035 1.1739
```


26.
Here is crystalline CrCuW at its relaxed geometry from Alexandria via LeMat-Bulk. Energies are from PBE-GGA.

Summary:
Its calculated formation energy is 1.171 eV per formula unit. The energy above the lowest structure with this stoichiometry is 0.0711 eV per atom.

Cell and atoms, written as POSCAR:
```
CrCuW
1.0
6.3819 0.0038 0.0000
5.3395 3.4954 0.0000
-5.8607 -1.7496 1.8219
Cr Cu W
1 1 1
Cartesian
11.6231 3.4699 0.0000
3.9733 1.1862 0.0000
7.8463 2.3424 0.0000
```


27.
Here is crystalline Cr2CuW at its relaxed geometry from Alexandria via LeMat-Bulk. Energies are from PBE-GGA.

Summary:
Its calculated formation energy is 1.580 eV per formula unit. The energy above the lowest structure with this stoichiometry is 0.1510 eV per atom.

Cell and atoms, written as POSCAR:
```
Cr2CuW
1.0
4.5355 -0.0012 0.0146
3.8356 2.4204 0.0146
0.4505 0.1302 4.7952
Cr Cu W
2 1 1
Cartesian
0.4546 0.1314 4.7437
6.6586 1.9243 3.6104
4.3983 1.2711 2.4474
2.1715 0.6275 1.2302
```


28.
Here is crystalline Cr2Cu2W at its relaxed geometry from Alexandria via LeMat-Bulk. Energies are from PBE-GGA.

Summary:
Its calculated formation energy is 3.250 eV per formula unit. The energy above the lowest structure with this stoichiometry is 0.1174 eV per atom.

Cell and atoms, written as POSCAR:
```
Cr2Cu2W
1.0
-0.6438 -2.9207 1.5383
2.1872 0.7964 2.4276
-3.4797 1.4570 4.9868
Cr Cu W
2 2 1
Cartesian
-1.6759 -1.2629 4.2540
-0.2604 0.5957 4.6986
-0.0578 -0.5706 2.5690
-1.8784 -0.0966 6.3836
0.0000 0.0000 0.0000
```


29.
Here is crystalline Cr2CuW at its relaxed geometry from Alexandria via LeMat-Bulk. Energies are from PBE-GGA.

Summary:
Its calculated formation energy is 1.558 eV per formula unit. The energy above the lowest structure with this stoichiometry is 0.1453 eV per atom.

Cell and atoms, written as POSCAR:
```
Cr2CuW
1.0
-0.0404 -1.3202 -2.1334
2.5132 -2.6192 1.5732
-4.0934 -2.8295 1.8286
Cr Cu W
2 1 1
Cartesian
-0.0822 -0.0569 0.0367
-1.9645 -1.3579 0.8776
0.2130 -2.6771 0.1771
-1.8337 -4.0918 1.0914
```


30.
Here is crystalline Cr2CuW at its relaxed geometry from Alexandria via LeMat-Bulk. Energies are from PBE-GGA.

Summary:
Its calculated formation energy is 1.140 eV per formula unit. The energy above the lowest structure with this stoichiometry is 0.0409 eV per atom.

Cell and atoms, written as POSCAR:
```
Cr2CuW
1.0
4.1250 0.0000 0.0000
0.0000 2.5670 -0.0381
0.0000 1.0844 4.9019
Cr Cu W
2 1 1
Cartesian
0.0000 0.1245 0.1073
2.0625 0.9327 1.1286
0.0000 1.6308 2.4139
2.0625 2.7890 3.6458
```